The following is a PBE with a Hubbard U calculation of an optimized crystal structure of FeSbPO2, from Alexandria via LeMat-Bulk.

Computed properties:
Distance to the lowest polymorph of the same formula = 0 meV per atom

a b c (Å): 3.870 3.870 4.886
angles (deg): 90.00 90.00 90.00
Element x y z (fractional)
Fe: 0.000 0.000 0.000
Sb: 0.500 0.500 0.500
P: 0.000 0.000 0.500
O: 0.000 0.500 0.000
O: 0.500 0.000 0.000